# PBE Sr2MgVSn, relaxed
# Magnetization = 4.5 μB per formula unit
# Formation energy = 8.5 kcal/mol of atoms
# Density of states at the Fermi level = 3.9 states/eV/cell
data_Sr2MgVSn
_cell_length_a 6.304
_cell_length_b 6.304
_cell_length_c 5.212
_cell_angle_alpha 90.00
_cell_angle_beta 90.00
_cell_angle_gamma 90.00
_space_group_name_H-M_alt 'P 4/m m m'
_space_group_IT_number 123
_space_group_name_Hall '-P 4 2'
loop_
_atom_site_label
_atom_site_fract_x
_atom_site_fract_y
_atom_site_fract_z
Sr1 0.000 0.500 0.000
Mg1 0.000 0.000 0.500
V1 0.500 0.500 0.500
Sn1 0.500 0.500 0.000